1.
## TbCeSbTe (PBE)

Data for a geometry-optimized TbCeSbTe structure.

Cell lengths 4.443, 4.443, 7.737 Å; angles 73.31, 73.31, 60.00 degrees
Last column: magnetic moment on the atom in μB.
Positions (direct):
Tb  0.442  0.442  0.675  0.02
Ce  0.947  0.947  0.160  0.96
Sb  0.697  0.697  0.909  -0.01
Te  0.191  0.191  0.426  -0.01

Its formation energy from raw total energies is -5.0 eV/f.u. As for the density of states at the Fermi level: 1.947 states/eV/atom. As for the crystal system: trigonal.

***

2.
## La2BeSiN (PBE)

Data for a geometry-optimized La2BeSiN structure.

Cell lengths 5.369, 5.369, 3.331 Å; angles 90.00, 90.00, 90.00 degrees
Positions (direct):
Be  0.000  0.000  0.500
Si  0.500  0.500  0.500
N  0.000  0.000  0.000
La  0.000  0.500  0.000
La  0.500  0.000  0.000

Its formation energy from raw total energies is -3.7 eV/f.u. As for the density of states at the Fermi level: 0.465 states/eV/atom. As for the crystal system: tetragonal. The distance to the lowest polymorph of the same formula comes out at 0.98 eV/f.u.

***

3.
## CuIr2Au (PBE)

Data for a geometry-optimized CuIr2Au structure.

Cell lengths 4.734, 4.734, 4.734 Å; angles 130.94, 130.94, 71.91 degrees
Positions (direct):
Au  0.500  0.500  0.000
Cu  0.750  0.250  0.500
Ir  0.000  0.000  0.000
Ir  0.250  0.750  0.500

The formation energy comes out at 0.301 eV/atom. As for the density of states at the Fermi level: 0.978 states/eV/atom. As for the crystal system: tetragonal. The distance to the lowest polymorph of the same formula comes out at 0.73 eV/f.u.

***

4.
## GaIr3S (PBE)

Data for a geometry-optimized GaIr3S structure.

Cell lengths 4.425, 4.425, 4.425 Å; angles 90.00, 90.00, 90.00 degrees
Positions (direct):
S  0.000  0.000  0.000
Ir  0.000  0.500  0.000
Ir  0.000  0.000  0.500
Ir  0.500  0.000  0.000
Ga  0.500  0.500  0.500

Its formation energy from raw total energies is 4.0 eV/f.u. As for the density of states at the Fermi level: 1.099 states/eV/atom. As for the crystal system: cubic. The distance to the lowest polymorph of the same formula comes out at 0.00 eV/f.u.

***

5.
## LaCe3Pm4Te8 (PBE)

Data for a geometry-optimized LaCe3Pm4Te8 structure.

Cell lengths 8.962, 9.002, 8.962 Å; angles 119.85, 120.00, 90.00 degrees
Last column: magnetic moment on the atom in μB.
Positions (direct):
La  0.000  0.500  0.000  0.04
Ce  0.500  0.500  0.000  0.97
Ce  0.500  0.500  0.500  0.97
Ce  0.000  0.500  0.500  0.97
Pm  0.500  0.000  0.000  0.02
Pm  0.500  0.000  0.500  0.01
Pm  0.000  0.000  0.000  0.01
Pm  0.000  0.000  0.500  0.01
Te  0.252  0.754  0.001  -0.01
Te  0.252  0.754  0.505  -0.01
Te  0.249  0.248  0.499  -0.01
Te  0.749  0.754  0.001  -0.01
Te  0.251  0.246  0.999  -0.01
Te  0.751  0.752  0.501  -0.01
Te  0.748  0.246  0.495  -0.01
Te  0.748  0.246  0.999  -0.01

Its formation energy from raw total energies is -22.7 eV/f.u. As for the density of states at the Fermi level: 1.676 states/eV/atom. As for the crystal system: trigonal.

***

6.
## Ag3MoBr (PBE)

Data for a geometry-optimized Ag3MoBr structure.

Cell lengths 5.171, 5.171, 5.171 Å; angles 90.00, 90.00, 90.00 degrees
Last column: magnetic moment on the atom in μB.
Positions (direct):
Mo  0.500  0.500  0.500  3.71
Br  0.000  0.000  0.000  0.05
Ag  0.000  0.500  0.000  0.02
Ag  0.000  0.000  0.500  -0.01
Ag  0.500  0.000  0.000  0.05

Its formation energy from raw total energies is 7.1 eV/f.u. As for the density of states at the Fermi level: 0.661 states/eV/atom. As for the crystal system: cubic.

***

7.
## Dy2Zn2FeRh5 (PBE)

Data for a geometry-optimized Dy2Zn2FeRh5 structure.

Cell lengths 3.492, 9.736, 9.736 Å; angles 90.00, 90.00, 90.00 degrees
Last column: magnetic moment on the atom in μB.
Positions (direct):
Dy  0.000  0.672  0.172  -0.08
Dy  0.000  0.328  0.828  -0.08
Dy  0.000  0.172  0.328  -0.08
Dy  0.000  0.828  0.672  -0.08
Zn  0.000  0.128  0.628  0.00
Zn  0.000  0.872  0.372  0.00
Zn  0.000  0.628  0.872  0.00
Zn  0.000  0.372  0.128  0.00
Fe  0.000  0.000  0.000  3.20
Fe  0.000  0.500  0.500  3.20
Rh  0.500  0.196  0.063  0.30
Rh  0.500  0.804  0.937  0.30
Rh  0.500  0.063  0.804  0.30
Rh  0.500  0.696  0.437  0.30
Rh  0.500  0.937  0.196  0.30
Rh  0.500  0.304  0.563  0.30
Rh  0.500  0.563  0.696  0.30
Rh  0.500  0.437  0.304  0.30
Rh  0.500  0.500  0.000  0.07
Rh  0.500  0.000  0.500  0.07

The formation energy comes out at -0.474 eV/atom. As for the density of states at the Fermi level: 0.560 states/eV/atom. As for the crystal system: tetragonal.

***

8.
## Pm3Mn2Si4 (PBE)

Data for a geometry-optimized Pm3Mn2Si4 structure.

Cell lengths 4.083, 5.964, 8.180 Å; angles 107.09, 90.00, 110.02 degrees
Last column: magnetic moment on the atom in μB.
Positions (direct):
Pm  0.616  0.232  0.692  -0.02
Pm  0.000  0.000  0.000  -0.01
Pm  0.384  0.768  0.308  -0.02
Mn  0.699  0.397  0.371  2.27
Mn  0.301  0.603  0.629  2.27
Si  0.718  0.436  0.075  -0.01
Si  0.282  0.564  0.925  -0.01
Si  0.899  0.799  0.600  -0.07
Si  0.101  0.201  0.400  -0.07

Its formation energy from raw total energies is -5.1 eV/f.u. As for the density of states at the Fermi level: 0.665 states/eV/atom. As for the crystal system: monoclinic.

***

9.
## La2BeCd (PBE)

Data for a geometry-optimized La2BeCd structure.

Cell lengths 4.703, 4.703, 7.725 Å; angles 79.55, 79.55, 44.98 degrees
Positions (direct):
Be  0.750  0.750  0.750
Cd  0.250  0.250  0.250
La  0.011  0.011  0.956
La  0.489  0.489  0.544

The formation energy comes out at 0.202 eV/atom. As for the density of states at the Fermi level: 1.087 states/eV/atom. As for the crystal system: monoclinic. The distance to the lowest polymorph of the same formula comes out at 1.09 eV/f.u.

***

10.
## Ce2Cu12Ni5 (PBE)

Data for a geometry-optimized Ce2Cu12Ni5 structure.

Cell lengths 6.415, 6.415, 6.415 Å; angles 83.39, 83.39, 83.39 degrees
Last column: magnetic moment on the atom in μB.
Positions (direct):
Ce  0.678  0.678  0.678  -0.32
Ce  0.322  0.322  0.322  -0.32
Cu  0.291  0.709  0.000  0.00
Cu  0.709  0.000  0.291  0.00
Cu  0.000  0.291  0.709  0.00
Cu  0.709  0.291  0.000  0.00
Cu  0.291  0.000  0.709  0.00
Cu  0.000  0.709  0.291  0.00
Cu  0.347  0.347  0.845  0.00
Cu  0.347  0.845  0.347  0.00
Cu  0.845  0.347  0.347  0.00
Cu  0.653  0.155  0.653  0.00
Cu  0.653  0.653  0.155  0.00
Cu  0.155  0.653  0.653  0.00
Ni  0.000  0.000  0.500  0.01
Ni  0.000  0.500  0.000  0.01
Ni  0.500  0.000  0.000  0.01
Ni  0.899  0.899  0.899  0.04
Ni  0.101  0.101  0.101  0.04

The formation energy comes out at -0.121 eV/atom. As for the density of states at the Fermi level: 0.843 states/eV/atom. As for the crystal system: trigonal.

***

11.
## NdSiPb (PBE)

Data for a geometry-optimized NdSiPb structure.

Cell lengths 3.882, 4.323, 9.550 Å; angles 76.92, 90.00, 90.00 degrees
Positions (direct):
Si  0.750  0.462  0.076
Si  0.250  0.538  0.924
Pb  0.750  0.297  0.407
Pb  0.250  0.703  0.593
Nd  0.750  0.089  0.821
Nd  0.250  0.911  0.179

Its formation energy from raw total energies is -1.5 eV/f.u. As for the density of states at the Fermi level: 0.746 states/eV/atom. As for the crystal system: orthorhombic.

***

12.
## La8PdS3I4 (PBE)

Data for a geometry-optimized La8PdS3I4 structure.

Cell lengths 8.508, 9.233, 8.508 Å; angles 117.44, 120.00, 90.00 degrees
Positions (direct):
La  0.238  0.699  0.961
La  0.238  0.698  0.476
La  0.269  0.307  0.538
La  0.722  0.699  0.961
La  0.278  0.301  0.039
La  0.731  0.693  0.462
La  0.762  0.302  0.524
La  0.762  0.301  0.039
Pd  0.000  0.500  0.000
S  0.500  0.500  0.000
S  0.500  0.500  0.500
S  0.000  0.500  0.500
I  0.500  0.000  0.000
I  0.500  0.000  0.500
I  0.000  0.000  0.000
I  0.000  0.000  0.500

Its formation energy from raw total energies is -22.8 eV/f.u. As for the density of states at the Fermi level: 0.907 states/eV/atom. As for the crystal system: trigonal.

***

13.
## NaTeP3 (PBE)

Data for a geometry-optimized NaTeP3 structure.

Cell lengths 5.171, 5.171, 5.171 Å; angles 90.00, 90.00, 90.00 degrees
Last column: magnetic moment on the atom in μB.
Positions (direct):
P  0.000  0.500  0.000  0.12
P  0.000  0.000  0.500  0.15
P  0.500  0.000  0.000  0.09
Te  0.000  0.000  0.000  -0.01
Na  0.500  0.500  0.500  0.00

Its formation energy from raw total energies is 4.5 eV/f.u. As for the density of states at the Fermi level: 1.242 states/eV/atom. As for the crystal system: cubic. The distance to the lowest polymorph of the same formula comes out at 0.00 eV/f.u.

***

14.
## Pm3HN2 (PBE)

Data for a geometry-optimized Pm3HN2 structure.

Cell lengths 3.527, 6.405, 11.181 Å; angles 90.00, 90.00, 105.98 degrees
Positions (direct):
Pm  0.612  0.224  0.082
Pm  0.105  0.210  0.750
Pm  0.612  0.224  0.418
Pm  0.895  0.790  0.250
Pm  0.388  0.776  0.918
Pm  0.388  0.776  0.582
H  0.227  0.453  0.250
H  0.773  0.547  0.750
N  0.000  0.000  0.000
N  0.000  0.000  0.500
N  0.509  0.018  0.250
N  0.491  0.982  0.750

Its total energy is -6.5738 eV per atom. As for the density of states at the Fermi level: 0.559 states/eV/atom. As for the crystal system: orthorhombic.

***

15.
## Tb3Nd6Mg (PBE)

Data for a geometry-optimized Tb3Nd6Mg structure.

Cell lengths 5.365, 10.531, 11.994 Å; angles 90.00, 90.04, 90.00 degrees
Positions (direct):
Tb  0.500  0.120  0.716
Tb  0.500  0.500  0.000
Tb  0.500  0.880  0.284
Tb  0.000  0.380  0.216
Tb  0.000  0.000  0.500
Tb  0.000  0.620  0.784
Nd  0.500  0.826  0.919
Nd  0.500  0.788  0.613
Nd  0.500  0.569  0.251
Nd  0.500  0.431  0.749
Nd  0.500  0.212  0.387
Nd  0.500  0.174  0.081
Nd  0.000  0.674  0.419
Nd  0.000  0.712  0.113
Nd  0.000  0.931  0.751
Nd  0.000  0.069  0.249
Nd  0.000  0.288  0.887
Nd  0.000  0.326  0.581
Mg  0.500  0.500  0.500
Mg  0.000  0.000  0.000

The formation energy comes out at 0.119 eV/atom. As for the density of states at the Fermi level: 1.176 states/eV/atom. As for the crystal system: monoclinic. The distance to the lowest polymorph of the same formula comes out at 0.09 eV/f.u.

***

16.
## LiAlFeRu (PBE)

Data for a geometry-optimized LiAlFeRu structure.

Cell lengths 4.200, 4.200, 4.200 Å; angles 60.00, 60.00, 60.00 degrees
Last column: magnetic moment on the atom in μB.
Positions (direct):
Ru  0.000  0.000  0.000  0.44
Li  0.500  0.500  0.500  -0.03
Fe  0.750  0.750  0.750  2.66
Al  0.250  0.250  0.250  -0.01

The formation energy comes out at -0.211 eV/atom. As for the density of states at the Fermi level: 0.881 states/eV/atom. As for the crystal system: cubic.

***

17.
## CeCuAs2 (PBE)

Data for a geometry-optimized CeCuAs2 structure.

Cell lengths 3.942, 4.435, 4.435 Å; angles 90.00, 90.00, 90.00 degrees
Positions (direct):
As  0.000  0.000  0.500
As  0.000  0.500  0.000
Cu  0.500  0.500  0.500
Ce  0.500  0.000  0.000

The formation energy comes out at -0.610 eV/atom. As for the density of states at the Fermi level: 0.788 states/eV/atom. As for the crystal system: tetragonal.

***

18.
## AcPm3DyY (PBE)

Data for a geometry-optimized AcPm3DyY structure.

Cell lengths 5.218, 8.212, 11.018 Å; angles 116.42, 90.00, 90.00 degrees
Positions (direct):
Ac  0.250  0.123  0.293
Ac  0.750  0.877  0.707
Pm  0.750  0.868  0.040
Pm  0.250  0.132  0.960
Pm  0.250  0.626  0.454
Pm  0.750  0.374  0.546
Pm  0.750  0.380  0.207
Pm  0.250  0.620  0.793
Dy  0.250  0.130  0.628
Dy  0.750  0.870  0.372
Y  0.250  0.620  0.123
Y  0.750  0.380  0.877

The formation energy comes out at 0.038 eV/atom. As for the density of states at the Fermi level: 1.613 states/eV/atom. As for the crystal system: monoclinic.

***

19.
## Cs2BePbBr6 (PBE)

Data for a geometry-optimized Cs2BePbBr6 structure.

Cell lengths 7.798, 7.798, 7.825 Å; angles 60.11, 60.11, 90.00 degrees
Positions (direct):
Pb  0.000  0.000  0.000
Cs  0.750  0.250  0.500
Cs  0.250  0.750  0.500
Br  0.271  0.271  0.457
Br  0.729  0.729  0.543
Br  0.274  0.274  0.000
Br  0.726  0.726  0.000
Br  0.726  0.274  0.000
Br  0.274  0.726  0.000
Be  0.500  0.500  0.000

Its formation energy from raw total energies is -11.8 eV/f.u. As for the density of states at the Fermi level: 0.000 states/eV/atom. As for the crystal system: tetragonal.

***

20.
## Dy3Al7Ga4 (PBE)

Data for a geometry-optimized Dy3Al7Ga4 structure.

Cell lengths 4.178, 8.277, 8.541 Å; angles 71.81, 75.84, 75.38 degrees
Positions (direct):
Dy  0.320  0.175  0.184
Dy  0.680  0.825  0.816
Dy  0.000  0.500  0.500
Al  0.324  0.828  0.524
Al  0.490  0.227  0.794
Al  0.845  0.386  0.925
Al  0.676  0.172  0.476
Al  0.155  0.614  0.075
Al  0.000  0.000  0.000
Al  0.510  0.773  0.206
Ga  0.663  0.443  0.232
Ga  0.337  0.557  0.768
Ga  0.878  0.903  0.341
Ga  0.122  0.097  0.659

The formation energy comes out at -0.405 eV/atom. As for the density of states at the Fermi level: 0.285 states/eV/atom. As for the crystal system: monoclinic.

***

21.
## LiTa3Zn (PBE)

Data for a geometry-optimized LiTa3Zn structure.

Cell lengths 4.394, 4.394, 4.394 Å; angles 90.00, 90.00, 90.00 degrees
Positions (direct):
Zn  0.500  0.500  0.500
Li  0.000  0.000  0.000
Ta  0.000  0.500  0.000
Ta  0.000  0.000  0.500
Ta  0.500  0.000  0.000

The formation energy comes out at 1.112 eV/atom. As for the density of states at the Fermi level: 1.398 states/eV/atom. As for the crystal system: cubic. The distance to the lowest polymorph of the same formula comes out at 0.00 eV/f.u.

***

22.
## In4SeI3 (PBE)

Data for a geometry-optimized In4SeI3 structure.

Cell lengths 6.672, 6.654, 13.738 Å; angles 90.00, 90.00, 90.00 degrees
Positions (direct):
In  0.060  0.773  0.000
In  0.592  0.243  0.000
In  0.064  0.251  0.210
In  0.564  0.749  0.290
In  0.092  0.757  0.500
In  0.560  0.227  0.500
In  0.564  0.749  0.710
In  0.064  0.251  0.790
Se  0.047  0.232  0.000
Se  0.547  0.768  0.500
I  0.560  0.744  0.000
I  0.064  0.751  0.250
I  0.564  0.249  0.250
I  0.060  0.256  0.500
I  0.564  0.249  0.750
I  0.064  0.751  0.750

Its formation energy from raw total energies is -2.9 eV/f.u. As for the density of states at the Fermi level: 0.580 states/eV/atom. As for the crystal system: orthorhombic.

***

23.
## NaTlHg6 (PBE)

Data for a geometry-optimized NaTlHg6 structure.

Cell lengths 4.533, 6.878, 6.878 Å; angles 90.01, 90.00, 90.00 degrees
Positions (direct):
Na  0.500  0.500  0.500
Tl  0.500  0.000  0.000
Hg  0.500  0.000  0.500
Hg  0.500  0.500  0.000
Hg  0.000  0.259  0.259
Hg  0.000  0.741  0.741
Hg  0.000  0.741  0.259
Hg  0.000  0.259  0.741

The formation energy comes out at -0.109 eV/atom. As for the density of states at the Fermi level: 0.234 states/eV/atom. As for the crystal system: tetragonal. The distance to the lowest polymorph of the same formula comes out at 0.00 eV/f.u.